No. 1
DFT (PBE) results for an optimized crystal structure of InPdW.

Values from the calculation:
The calculation puts the total energy at -6.07 eV per atom.

```
data_InPdW
_chemical_formula_sum 'In4 Pd4 W4'
_cell_length_a 6.2852
_cell_length_b 6.2852
_cell_length_c 6.2852
_cell_angle_alpha 90.00
_cell_angle_beta 90.00
_cell_angle_gamma 90.00
_space_group_name_H-M_alt 'F -4 3 m'
_space_group_IT_number 216
_space_group_name_Hall 'F -4 2 3'
loop_
_atom_site_label
_atom_site_fract_x
_atom_site_fract_y
_atom_site_fract_z
In1 0.0000 0.0000 0.0000
Pd1 0.0000 0.0000 0.5000
W1 0.2500 0.2500 0.2500
```

=====

No. 2
DFT (PBE) results for an optimized crystal structure of InPdW2.

Values from the calculation:
The calculation puts the total energy at -8.06 eV per atom.

```
data_InPdW2
_chemical_formula_sum 'In4 Pd4 W8'
_cell_length_a 6.4771
_cell_length_b 6.4771
_cell_length_c 6.4771
_cell_angle_alpha 90.00
_cell_angle_beta 90.00
_cell_angle_gamma 90.00
_space_group_name_H-M_alt 'F -4 3 m'
_space_group_IT_number 216
_space_group_name_Hall 'F -4 2 3'
loop_
_atom_site_label
_atom_site_fract_x
_atom_site_fract_y
_atom_site_fract_z
In1 0.0000 0.0000 0.0000
Pd1 0.2500 0.2500 0.2500
W1 0.0000 0.0000 0.5000
W2 0.2500 0.2500 0.7500
```

=====

No. 3
DFT (PBE) results for an optimized crystal structure of YInPd2.

Values from the calculation:
The calculation puts the total energy at -5.62 eV per atom.

```
data_YInPd2
_chemical_formula_sum 'Y4 In4 Pd8'
_cell_length_a 7.2324
_cell_length_b 7.2309
_cell_length_c 6.3395
_cell_angle_alpha 90.00
_cell_angle_beta 90.00
_cell_angle_gamma 90.00
_space_group_name_H-M_alt 'P n m a'
_space_group_IT_number 62
_space_group_name_Hall '-P 2ac 2n'
loop_
_atom_site_label
_atom_site_fract_x
_atom_site_fract_y
_atom_site_fract_z
Y1 0.0257 0.2500 0.1772
In1 0.1014 0.7500 0.3240
Pd1 0.2035 0.0485 0.5473
```

=====

No. 4
DFT (PBE) results for an optimized crystal structure of YInPd2.

Values from the calculation:
The calculation puts the total energy at -5.71 eV per atom.

```
data_YInPd2
_chemical_formula_sum 'Y4 In4 Pd8'
_cell_length_a 6.8200
_cell_length_b 6.8200
_cell_length_c 6.8200
_cell_angle_alpha 90.00
_cell_angle_beta 90.00
_cell_angle_gamma 90.00
_space_group_name_H-M_alt 'F m -3 m'
_space_group_IT_number 225
_space_group_name_Hall '-F 4 2 3'
loop_
_atom_site_label
_atom_site_fract_x
_atom_site_fract_y
_atom_site_fract_z
Y1 0.0000 0.0000 0.0000
In1 0.0000 0.0000 0.5000
Pd1 0.2500 0.2500 0.2500
```

=====

No. 5
DFT (PBE) results for an optimized crystal structure of YInPd2.

Values from the calculation:
The calculation puts the total energy at -5.44 eV per atom.

```
data_YInPd2
_chemical_formula_sum 'Y4 In4 Pd8'
_cell_length_a 6.8076
_cell_length_b 6.8076
_cell_length_c 6.8076
_cell_angle_alpha 90.00
_cell_angle_beta 90.00
_cell_angle_gamma 90.00
_space_group_name_H-M_alt 'F -4 3 m'
_space_group_IT_number 216
_space_group_name_Hall 'F -4 2 3'
loop_
_atom_site_label
_atom_site_fract_x
_atom_site_fract_y
_atom_site_fract_z
Y1 0.0000 0.0000 0.0000
In1 0.2500 0.2500 0.7500
Pd1 0.0000 0.0000 0.5000
Pd2 0.2500 0.2500 0.2500
```

=====

No. 6
DFT (PBE) results for an optimized crystal structure of YInPd2.

Values from the calculation:
The calculation puts the total energy at -5.61 eV per atom.

```
data_YInPd2
_chemical_formula_sum 'Y1 In1 Pd2'
_cell_length_a 3.4811
_cell_length_b 3.4811
_cell_length_c 6.5129
_cell_angle_alpha 90.00
_cell_angle_beta 90.00
_cell_angle_gamma 90.00
_space_group_name_H-M_alt 'P 4/m m m'
_space_group_IT_number 123
_space_group_name_Hall '-P 4 2'
loop_
_atom_site_label
_atom_site_fract_x
_atom_site_fract_y
_atom_site_fract_z
Y1 0.0000 0.0000 0.0000
In1 0.0000 0.0000 0.5000
Pd1 0.5000 0.5000 0.2664
```

=====

No. 7
DFT (PBE) results for an optimized crystal structure of YInPd2.

Values from the calculation:
The calculation puts the total energy at -5.61 eV per atom.

```
data_YInPd2
_chemical_formula_sum 'Y1 In1 Pd2'
_cell_length_a 4.7254
_cell_length_b 4.7254
_cell_length_c 3.5244
_cell_angle_alpha 90.00
_cell_angle_beta 90.00
_cell_angle_gamma 90.00
_space_group_name_H-M_alt 'P 4/m m m'
_space_group_IT_number 123
_space_group_name_Hall '-P 4 2'
loop_
_atom_site_label
_atom_site_fract_x
_atom_site_fract_y
_atom_site_fract_z
Y1 0.0000 0.0000 0.0000
In1 0.5000 0.5000 0.0000
Pd1 0.0000 0.5000 0.5000
```

=====

No. 8
DFT (PBE) results for an optimized crystal structure of Y2In8Pd.

Values from the calculation:
The calculation puts the total energy at -4.05 eV per atom.

```
data_Y2In8Pd
_chemical_formula_sum 'Y2 In8 Pd1'
_cell_length_a 4.7079
_cell_length_b 4.7079
_cell_length_c 12.1571
_cell_angle_alpha 90.00
_cell_angle_beta 90.00
_cell_angle_gamma 90.00
_space_group_name_H-M_alt 'P 4/m m m'
_space_group_IT_number 123
_space_group_name_Hall '-P 4 2'
loop_
_atom_site_label
_atom_site_fract_x
_atom_site_fract_y
_atom_site_fract_z
Y1 0.0000 0.0000 0.1900
In1 0.0000 0.5000 0.0000
In2 0.0000 0.5000 0.3740
In3 0.5000 0.5000 0.1925
Pd1 0.0000 0.0000 0.5000
```

=====

No. 9
DFT (PBE) results for an optimized crystal structure of YIn2Pd2.

Values from the calculation:
The calculation puts the total energy at -5.02 eV per atom.

```
data_YIn2Pd2
_chemical_formula_sum 'Y2 In4 Pd4'
_cell_length_a 4.2806
_cell_length_b 4.2806
_cell_length_c 11.8694
_cell_angle_alpha 90.00
_cell_angle_beta 90.00
_cell_angle_gamma 90.00
_space_group_name_H-M_alt 'I 4/m m m'
_space_group_IT_number 139
_space_group_name_Hall '-I 4 2'
loop_
_atom_site_label
_atom_site_fract_x
_atom_site_fract_y
_atom_site_fract_z
Y1 0.0000 0.0000 0.0000
In1 0.0000 0.5000 0.2500
Pd1 0.0000 0.0000 0.3911
```

=====

No. 10
DFT (PBE) results for an optimized crystal structure of ZnInPd2.

Values from the calculation:
The calculation puts the total energy at -3.93 eV per atom.

```
data_ZnInPd2
_chemical_formula_sum 'Zn4 In4 Pd8'
_cell_length_a 6.4091
_cell_length_b 6.4091
_cell_length_c 6.4091
_cell_angle_alpha 90.00
_cell_angle_beta 90.00
_cell_angle_gamma 90.00
_space_group_name_H-M_alt 'F -4 3 m'
_space_group_IT_number 216
_space_group_name_Hall 'F -4 2 3'
loop_
_atom_site_label
_atom_site_fract_x
_atom_site_fract_y
_atom_site_fract_z
Zn1 0.0000 0.0000 0.0000
In1 0.2500 0.2500 0.7500
Pd1 0.0000 0.0000 0.5000
Pd2 0.2500 0.2500 0.2500
```

=====

No. 11
DFT (PBE) results for an optimized crystal structure of ZnInPd2.

Values from the calculation:
The calculation puts the total energy at -3.98 eV per atom.

```
data_ZnInPd2
_chemical_formula_sum 'Zn2 In2 Pd4'
_cell_length_a 3.1317
_cell_length_b 3.1317
_cell_length_c 16.0083
_cell_angle_alpha 90.00
_cell_angle_beta 90.00
_cell_angle_gamma 120.00
_space_group_name_H-M_alt 'P 63/m m c'
_space_group_IT_number 194
_space_group_name_Hall '-P 6c 2c'
loop_
_atom_site_label
_atom_site_fract_x
_atom_site_fract_y
_atom_site_fract_z
Zn1 0.3333 0.6667 0.2500
In1 0.0000 0.0000 0.0000
Pd1 0.3333 0.6667 0.6331
```

=====

No. 12
DFT (PBE) results for an optimized crystal structure of ZnInPd2.

Values from the calculation:
The calculation puts the total energy at -4.09 eV per atom.

```
data_ZnInPd2
_chemical_formula_sum 'Zn2 In2 Pd4'
_cell_length_a 6.0598
_cell_length_b 6.0774
_cell_length_c 3.5393
_cell_angle_alpha 90.00
_cell_angle_beta 90.00
_cell_angle_gamma 90.00
_space_group_name_H-M_alt 'C m m m'
_space_group_IT_number 65
_space_group_name_Hall '-C 2 2'
loop_
_atom_site_label
_atom_site_fract_x
_atom_site_fract_y
_atom_site_fract_z
Zn1 0.0000 0.0000 0.0000
In1 0.0000 0.5000 0.0000
Pd1 0.2500 0.2500 0.5000
```